This record from Alexandria describes a relaxed Ac4La3Y crystal. The functional is PBE.

Values from the calculation:
D(E_F) (states/eV/f.u.): 14.4
Magnetization (μB per formula unit): 0.00
Symmetry: No. 59
Calculated total energy (eV/f.u.): -37.47

a b c (Å): 5.479 10.774 10.911
angles (deg): 90.00 90.00 90.00
Fractional coordinates of all 16 atoms:
Y (0.064, 0.383, 0.000)
Y (0.564, 0.617, 0.500)
Ac (0.064, 0.865, 0.000)
Ac (0.564, 0.135, 0.000)
Ac (0.064, 0.136, 0.249)
Ac (0.564, 0.864, 0.251)
Ac (0.064, 0.865, 0.500)
Ac (0.564, 0.135, 0.500)
Ac (0.564, 0.864, 0.749)
Ac (0.064, 0.136, 0.751)
La (0.564, 0.615, 0.000)
La (0.064, 0.614, 0.250)
La (0.564, 0.386, 0.250)
La (0.064, 0.385, 0.500)
La (0.564, 0.386, 0.750)
La (0.064, 0.614, 0.750)